Entry 1:
Here is a relaxed Tl2Cr2Cl7 crystal from Alexandria via LeMat-Bulk. Energies are from GGA-PBE.

Unit cell a=7.7411 b=14.8953 c=6.3935 alpha=90.00 beta=103.51 gamma=90.00
Closest atoms and distances in Å follow each position.
Space group C2/m (No. 12)
Symmetry-distinct sites (fractional):
Tl 0.0000 0.2014 0.0000 x4  6 Cl 3.17-3.41
Cr 0.2283 0.0000 0.6218 x4  5 Cl 2.32-2.41
Cl 0.0000 0.5000 0.5000 x2  2 Cr 2.41
Cl 0.0461 0.0000 0.2625 x4  2 Cr 2.40-2.41
Cl 0.2367 0.3487 0.2956 x8  1 Cr 2.32

## Properties
As for the uncorrected formation energy: -10.4 eV per formula unit.



Entry 2:
Here is a relaxed Sm2Y3Cu2 crystal from Alexandria via LeMat-Bulk. Energies are from GGA-PBE.

Unit cell a=12.7013 b=3.6366 c=9.1510 alpha=90.00 beta=117.18 gamma=90.00
Closest atoms and distances in Å follow each position.
Space group C2/m (No. 12)
Symmetry-distinct sites (fractional):
Sm 0.1576 0.0000 0.3135 x4  2 Cu 3.04
Y 0.0000 0.5000 0.5000 x2  4 Cu 2.87
Y 0.1138 0.5000 0.9428 x4  3 Cu 2.95-3.00
Cu 0.1680 0.0000 0.7325 x4  5 Y 2.87-3.00, 2 Sm 3.04

## Properties
The calculation puts the formation energy from the elements at -0.110 eV per atom.



Entry 3:
Here is a relaxed YAlTc2 crystal from Alexandria via LeMat-Bulk. Energies are from GGA-PBE.

Unit cell a=2.9314 b=2.9314 c=28.6384 alpha=90.00 beta=90.00 gamma=120.00
Closest atoms and distances in Å follow each position.
Space group R3m (No. 160, hexagonal axes)
Symmetry-distinct sites (fractional):
Y 0.0000 0.0000 0.0000 x3  6 Y 2.93, 3 Tc 3.17, 3 Al 3.23
Al 0.0000 0.0000 0.2374 x3  3 Tc 2.71, 6 Al 2.93
Tc 0.0000 0.0000 0.4969 x3  9 Tc 2.62-2.93, 3 Al 2.71
Tc 0.0000 0.0000 0.7602 x3  9 Tc 2.62-2.93

## Properties
The calculation puts the formation energy from the elements at 0.207 eV per atom.



Entry 4:
Here is a relaxed TaAlRe2 crystal from Alexandria via LeMat-Bulk. Energies are from GGA-PBE.

Unit cell a=2.7858 b=4.3940 c=5.2528 alpha=90.00 beta=103.68 gamma=90.00
Closest atoms and distances in Å follow each position.
Space group Pm (No. 6)
Symmetry-distinct sites (fractional):
Ta 0.0000 0.0000 0.0000 x1  4 Re 2.63-2.76, 2 Ta 2.79, 4 Al 2.84-2.92
Al 0.6391 0.5000 0.2428 x1  4 Re 2.67-2.68, 2 Al 2.79, 4 Ta 2.84-2.92
Re 0.2164 0.5000 0.7278 x1  2 Al 2.67-2.68, 4 Re 2.69-2.79, 2 Ta 2.76
Re 0.4753 0.0000 0.4974 x1  2 Ta 2.63-2.70, 2 Al 2.67, 4 Re 2.69-2.79

## Properties
The calculation puts the formation energy from the elements at -0.131 eV per atom.



Entry 5:
Here is a relaxed Sm2EuAg crystal from Alexandria via LeMat-Bulk. Energies are from GGA-PBE.

Unit cell a=5.4237 b=5.4237 c=4.0238 alpha=90.00 beta=90.00 gamma=90.00
Closest atoms and distances in Å follow each position.
Space group P4/mmm (No. 123)
Symmetry-distinct sites (fractional):
Sm 0.0000 0.5000 0.0000 x2  4 Eu 3.38, 4 Ag 3.38
Eu 0.0000 0.0000 0.5000 x1  8 Sm 3.38
Ag 0.5000 0.5000 0.5000 x1  8 Sm 3.38

## Properties
The calculation puts the formation energy from the elements at 0.039 eV per atom.



Entry 6:
Here is a relaxed LaGe2O2 crystal from Alexandria via LeMat-Bulk. Energies are from GGA-PBE.

Unit cell a=4.4642 b=4.4642 c=8.4524 alpha=90.00 beta=90.00 gamma=90.00
Closest atoms and distances in Å follow each position.
Space group I4/mmm (No. 139)
Symmetry-distinct sites (fractional):
La 0.0000 0.0000 0.0000 x2  2 Ge 2.91, 8 O 3.07
Ge 0.0000 0.0000 0.3443 x4  4 O 2.37, 1 Ge 2.63
O 0.0000 0.5000 0.2500 x4  4 Ge 2.37

## Properties
As for the uncorrected formation energy: -4.0 eV per formula unit.



Entry 7:
Here is a relaxed PmPrGa4 crystal from Alexandria via LeMat-Bulk. Energies are from GGA-PBE.

Unit cell a=7.9723 b=7.9723 c=7.9723 alpha=90.00 beta=90.00 gamma=90.00
Closest atoms and distances in Å follow each position.
Space group F-43m (No. 216)
Symmetry-distinct sites (fractional):
Pm 0.0000 0.0000 0.0000 x4  12 Ga 3.30, 4 Pr 3.45
Pr 0.2500 0.2500 0.2500 x4  12 Ga 3.31, 4 Pm 3.45
Ga 0.1251 0.1251 0.6251 x16  6 Ga 2.82

## Properties
The calculation puts the formation energy from the elements at -0.566 eV per atom.



Entry 8:
Here is a relaxed CaNb3Mo crystal from Alexandria via LeMat-Bulk. Energies are from GGA-PBE.

Unit cell a=4.6653 b=4.6653 c=4.6653 alpha=90.00 beta=90.00 gamma=90.00
Closest atoms and distances in Å follow each position.
Space group Pm-3m (No. 221)
Symmetry-distinct sites (fractional):
Ca 0.0000 0.0000 0.0000 x1  6 Nb 2.33
Nb 0.0000 0.0000 0.5000 x3  2 Ca 2.33
Mo 0.5000 0.5000 0.5000 x1  12 Nb 3.30

## Properties
The calculation puts the formation energy from the elements at 2.454 eV per atom.



Number 1: VASP energy -94.64 eV per cell, calculated volume 716.80 Å³/cell. Number 2: VASP energy -75.59 eV per cell, calculated volume 375.99 Å³/cell. Number 3: VASP energy -90.33 eV per cell, calculated volume 213.12 Å³/cell. Number 4: VASP energy -41.02 eV per cell, calculated volume 62.47 Å³/cell. Number 5: VASP energy -22.41 eV per cell, calculated volume 118.37 Å³/cell. Number 6: VASP energy -56.10 eV per cell, calculated volume 168.45 Å³/cell. Number 7: VASP energy -100.14 eV per cell, calculated volume 506.71 Å³/cell. Number 8: VASP energy -30.77 eV per cell, calculated volume 101.54 Å³/cell.